(1)
Rb2Te2MoSe (GGA-PBE, optimized geometry); M_tot = 1.05 μB/cell; DFT total energy = -4.406 eV per atom; space-group type = P-1; density = 4.1 Mg/m³
1.0
-0.6160 -1.4670 -7.3151
4.2091 -6.6247 -2.1504
-6.4972 -6.6027 -1.5168
Mo Rb Se Te
2 4 2 4
Direct
0.6110 0.9531 0.3473 Mo
0.3890 0.0469 0.6527 Mo
0.0948 0.1866 0.1395 Rb
0.3414 0.5680 0.3094 Rb
0.6586 0.4320 0.6906 Rb
0.9052 0.8134 0.8605 Rb
0.2692 0.9580 0.4859 Se
0.7308 0.0420 0.5141 Se
0.6170 0.1817 0.0970 Te
0.8284 0.6332 0.2802 Te
0.1716 0.3668 0.7198 Te
0.3830 0.8183 0.9030 Te

=====

(2)
RbTe2Mo3Se (GGA-PBE, optimized geometry); M_tot = 0.01 μB/cell; DFT total energy = -6.749 eV per atom; space-group type = P2_1/m; density = 6.0 Mg/m³
1.0
-4.8202 1.5119 8.4453
-0.8030 -4.5055 0.3483
9.6896 -1.7069 0.2604
Mo Rb Se Te
6 2 2 4
Direct
0.8594 0.2500 0.0276 Mo
0.1663 0.2500 0.1402 Mo
0.0243 0.7500 0.1662 Mo
0.9757 0.2500 0.8338 Mo
0.8337 0.7500 0.8598 Mo
0.1406 0.7500 0.9724 Mo
0.6500 0.2500 0.3447 Rb
0.3500 0.7500 0.6553 Rb
0.3276 0.7500 0.2750 Se
0.6724 0.2500 0.7250 Se
0.6984 0.7500 0.0566 Te
0.0527 0.2500 0.3556 Te
0.9473 0.7500 0.6444 Te
0.3016 0.2500 0.9434 Te